FeBSbI2: relaxed, PBE-GGA.

```
data_FeBSbI2
_chemical_formula_sum 'Fe1 B1 Sb1 I2'
_cell_length_a 4.962
_cell_length_b 4.962
_cell_length_c 5.018
_cell_angle_alpha 90.00
_cell_angle_beta 90.00
_cell_angle_gamma 90.00
_symmetry_space_group_name_H-M 'P 4/m m m'
_symmetry_Int_Tables_number 123
_symmetry_space_group_name_Hall '-P 4 2'
loop_
_atom_site_label
_atom_site_type_symbol
_atom_site_fract_x
_atom_site_fract_y
_atom_site_fract_z
Fe1 Fe 0.000 0.000 0.000
B1 B 0.500 0.500 0.500
Sb1 Sb 0.500 0.500 0.000
I1 I 0.000 0.500 0.500
```

Properties
For the relative energy among the computed polymorphs, the calculation gives 0.000 eV/atom. As for the formation energy from raw total energies: 1220.1 meV/atom.

FeBSbI2: relaxed, PBE-GGA.

```
data_FeBSbI2
_chemical_formula_sum 'Fe1 B1 Sb1 I2'
_cell_length_a 5.490
_cell_length_b 5.490
_cell_length_c 4.899
_cell_angle_alpha 90.00
_cell_angle_beta 90.00
_cell_angle_gamma 90.00
_symmetry_space_group_name_H-M 'P 4/m m m'
_symmetry_Int_Tables_number 123
_symmetry_space_group_name_Hall '-P 4 2'
loop_
_atom_site_label
_atom_site_type_symbol
_atom_site_fract_x
_atom_site_fract_y
_atom_site_fract_z
Fe1 Fe 0.000 0.000 0.000
B1 B 0.500 0.500 0.500
Sb1 Sb 0.000 0.000 0.500
I1 I 0.000 0.500 0.000
```

Properties
For the relative energy among the computed polymorphs, the calculation gives 0.055 eV/atom. As for the formation energy from raw total energies: 1275.3 meV/atom.

TaFe2BI: relaxed, PBE-GGA.

```
data_TaFe2BI
_chemical_formula_sum 'Ta1 Fe2 B1 I1'
_cell_length_a 4.003
_cell_length_b 4.003
_cell_length_c 4.387
_cell_angle_alpha 90.00
_cell_angle_beta 90.00
_cell_angle_gamma 90.00
_symmetry_space_group_name_H-M 'P 4/m m m'
_symmetry_Int_Tables_number 123
_symmetry_space_group_name_Hall '-P 4 2'
loop_
_atom_site_label
_atom_site_type_symbol
_atom_site_fract_x
_atom_site_fract_y
_atom_site_fract_z
Ta1 Ta 0.000 0.000 0.000
Fe1 Fe 0.000 0.500 0.500
B1 B 0.000 0.000 0.500
I1 I 0.500 0.500 0.000
```

Properties
As for the formation energy from raw total energies: 688.9 meV/atom.

FeBTe2I: relaxed, PBE-GGA.

```
data_FeBTe2I
_chemical_formula_sum 'Fe1 B1 Te2 I1'
_cell_length_a 4.908
_cell_length_b 4.908
_cell_length_c 4.911
_cell_angle_alpha 90.00
_cell_angle_beta 90.00
_cell_angle_gamma 90.00
_symmetry_space_group_name_H-M 'P 4/m m m'
_symmetry_Int_Tables_number 123
_symmetry_space_group_name_Hall '-P 4 2'
loop_
_atom_site_label
_atom_site_type_symbol
_atom_site_fract_x
_atom_site_fract_y
_atom_site_fract_z
Fe1 Fe 0.000 0.000 0.000
B1 B 0.500 0.500 0.500
Te1 Te 0.000 0.500 0.500
I1 I 0.500 0.500 0.000
```

Properties
For the relative energy among the computed polymorphs, the calculation gives 0.000 eV/atom. As for the formation energy from raw total energies: 1108.2 meV/atom.

FeBTe2I: relaxed, PBE-GGA.

```
data_FeBTe2I
_chemical_formula_sum 'Fe1 B1 Te2 I1'
_cell_length_a 4.888
_cell_length_b 4.888
_cell_length_c 5.659
_cell_angle_alpha 90.00
_cell_angle_beta 90.00
_cell_angle_gamma 90.00
_symmetry_space_group_name_H-M 'P 4/m m m'
_symmetry_Int_Tables_number 123
_symmetry_space_group_name_Hall '-P 4 2'
loop_
_atom_site_label
_atom_site_type_symbol
_atom_site_fract_x
_atom_site_fract_y
_atom_site_fract_z
Fe1 Fe 0.000 0.000 0.000
B1 B 0.500 0.500 0.500
Te1 Te 0.000 0.500 0.000
I1 I 0.000 0.000 0.500
```

Properties
For the relative energy among the computed polymorphs, the calculation gives 0.163 eV/atom. As for the formation energy from raw total energies: 1270.7 meV/atom.

TlFe2BI: relaxed, PBE-GGA.

```
data_TlFe2BI
_chemical_formula_sum 'Tl1 Fe2 B1 I1'
_cell_length_a 4.808
_cell_length_b 4.808
_cell_length_c 4.579
_cell_angle_alpha 90.00
_cell_angle_beta 90.00
_cell_angle_gamma 90.00
_symmetry_space_group_name_H-M 'P 4/m m m'
_symmetry_Int_Tables_number 123
_symmetry_space_group_name_Hall '-P 4 2'
loop_
_atom_site_label
_atom_site_type_symbol
_atom_site_fract_x
_atom_site_fract_y
_atom_site_fract_z
Tl1 Tl 0.000 0.000 0.000
Fe1 Fe 0.000 0.500 0.500
B1 B 0.500 0.500 0.000
I1 I 0.500 0.500 0.500
```

Properties
As for the formation energy from raw total energies: 1788.1 meV/atom.

Tl2FeBI: relaxed, PBE-GGA.

```
data_Tl2FeBI
_chemical_formula_sum 'Tl2 Fe1 B1 I1'
_cell_length_a 6.348
_cell_length_b 6.348
_cell_length_c 4.455
_cell_angle_alpha 90.00
_cell_angle_beta 90.00
_cell_angle_gamma 90.00
_symmetry_space_group_name_H-M 'P 4/m m m'
_symmetry_Int_Tables_number 123
_symmetry_space_group_name_Hall '-P 4 2'
loop_
_atom_site_label
_atom_site_type_symbol
_atom_site_fract_x
_atom_site_fract_y
_atom_site_fract_z
Tl1 Tl 0.000 0.500 0.000
Fe1 Fe 0.000 0.000 0.500
B1 B 0.500 0.500 0.500
I1 I 0.500 0.500 0.000
```

Properties
As for the formation energy from raw total energies: 1665.1 meV/atom.

In3FeB: relaxed, PBE-GGA.

```
data_In3FeB
_chemical_formula_sum 'In3 Fe1 B1'
_cell_length_a 4.946
_cell_length_b 4.946
_cell_length_c 4.946
_cell_angle_alpha 90.00
_cell_angle_beta 90.00
_cell_angle_gamma 90.00
_symmetry_space_group_name_H-M 'P m -3 m'
_symmetry_Int_Tables_number 221
_symmetry_space_group_name_Hall '-P 4 2 3'
loop_
_atom_site_label
_atom_site_type_symbol
_atom_site_fract_x
_atom_site_fract_y
_atom_site_fract_z
In1 In 0.000 0.000 0.500
Fe1 Fe 0.000 0.000 0.000
B1 B 0.500 0.500 0.500
```

Properties
For the relative energy among the computed polymorphs, the calculation gives 0.000 eV/atom. Its formation energy from the elements is 1.071 eV per atom.

In3FeB: relaxed, PBE-GGA.

```
data_In3FeB
_chemical_formula_sum 'In3 Fe1 B1'
_cell_length_a 4.663
_cell_length_b 4.663
_cell_length_c 4.663
_cell_angle_alpha 90.00
_cell_angle_beta 90.00
_cell_angle_gamma 90.00
_symmetry_space_group_name_H-M 'P m -3 m'
_symmetry_Int_Tables_number 221
_symmetry_space_group_name_Hall '-P 4 2 3'
loop_
_atom_site_label
_atom_site_type_symbol
_atom_site_fract_x
_atom_site_fract_y
_atom_site_fract_z
In1 In 0.000 0.000 0.500
Fe1 Fe 0.500 0.500 0.500
B1 B 0.000 0.000 0.000
```

Properties
For the relative energy among the computed polymorphs, the calculation gives 0.097 eV/atom. Its formation energy from the elements is 1.169 eV per atom.

In2FeB: relaxed, PBE-GGA.

```
data_In2FeB
_chemical_formula_sum 'In8 Fe4 B4'
_cell_length_a 8.632
_cell_length_b 8.632
_cell_length_c 4.013
_cell_angle_alpha 90.00
_cell_angle_beta 90.00
_cell_angle_gamma 90.00
_symmetry_space_group_name_H-M 'I -4 2 d'
_symmetry_Int_Tables_number 122
_symmetry_space_group_name_Hall 'I -4 2bw'
loop_
_atom_site_label
_atom_site_type_symbol
_atom_site_fract_x
_atom_site_fract_y
_atom_site_fract_z
In1 In 0.108 0.250 0.125
Fe1 Fe 0.000 0.000 0.500
B1 B 0.000 0.000 0.000
```

Properties
Its formation energy from the elements is 0.563 eV per atom.

LaIn2FeB: relaxed, PBE-GGA.

```
data_LaIn2FeB
_chemical_formula_sum 'La1 In2 Fe1 B1'
_cell_length_a 5.247
_cell_length_b 5.247
_cell_length_c 4.111
_cell_angle_alpha 90.00
_cell_angle_beta 90.00
_cell_angle_gamma 90.00
_symmetry_space_group_name_H-M 'P 4/m m m'
_symmetry_Int_Tables_number 123
_symmetry_space_group_name_Hall '-P 4 2'
loop_
_atom_site_label
_atom_site_type_symbol
_atom_site_fract_x
_atom_site_fract_y
_atom_site_fract_z
La1 La 0.000 0.000 0.000
In1 In 0.000 0.500 0.500
Fe1 Fe 0.500 0.500 0.500
B1 B 0.500 0.500 0.000
```

Properties
Its formation energy from the elements is 0.215 eV per atom.

In2FeBMo: relaxed, PBE-GGA.

```
data_In2FeBMo
_chemical_formula_sum 'In2 Fe1 B1 Mo1'
_cell_length_a 4.919
_cell_length_b 4.919
_cell_length_c 3.779
_cell_angle_alpha 90.00
_cell_angle_beta 90.00
_cell_angle_gamma 90.00
_symmetry_space_group_name_H-M 'P 4/m m m'
_symmetry_Int_Tables_number 123
_symmetry_space_group_name_Hall '-P 4 2'
loop_
_atom_site_label
_atom_site_type_symbol
_atom_site_fract_x
_atom_site_fract_y
_atom_site_fract_z
In1 In 0.000 0.500 0.000
Fe1 Fe 0.000 0.000 0.000
B1 B 0.000 0.000 0.500
Mo1 Mo 0.500 0.500 0.500
```

Properties
Its formation energy from the elements is 1.034 eV per atom.

InFeBN2: relaxed, PBE-GGA.

```
data_InFeBN2
_chemical_formula_sum 'In1 Fe1 B1 N2'
_cell_length_a 3.359
_cell_length_b 3.359
_cell_length_c 5.928
_cell_angle_alpha 90.00
_cell_angle_beta 90.00
_cell_angle_gamma 90.00
_symmetry_space_group_name_H-M 'P 4/m m m'
_symmetry_Int_Tables_number 123
_symmetry_space_group_name_Hall '-P 4 2'
loop_
_atom_site_label
_atom_site_type_symbol
_atom_site_fract_x
_atom_site_fract_y
_atom_site_fract_z
In1 In 0.000 0.000 0.000
Fe1 Fe 0.500 0.500 0.000
B1 B 0.000 0.000 0.500
N1 N 0.000 0.500 0.500
```

Properties
As for the formation energy from raw total energies: 1576.6 meV/atom.

What are the D(E_F) values for these records? In order: 4.0; 6.1; 6.6; 5.5; 8.7; 7.5; 8.5; 4.0; 7.6; 14.1; 2.9; 3.5; 3.8 states/eV/cell.